MgBeNO: relaxed, PBE.

The structure belongs to space group P1 (No. 1); the cell edges are 2.626, 2.835 and 4.907 Å and the angles 80.33°, 81.99° and 73.98°. Symmetry generates all atoms from Mg at (0.000, 0.000, 0.000), Be at (0.729, 0.296, 0.474), N at (0.699, 0.712, 0.707) and O at (0.284, 0.321, 0.259).

As for the crystal system: triclinic. Its magnetization is 0.0 μB/cell. The excess energy over the best structure of this formula in the dataset is 0.16 eV per formula unit.